# 1
# NbAl2WN

An optimized crystal structure of NbAl2WN (PBE, Alexandria via LeMat-Bulk).

a b c (Å): 5.098 5.098 4.760
angles (deg): 90.00 90.00 90.00
Fractional positions:
Nb 0.000 0.000 0.000
Al 0.000 0.500 0.000
Al 0.500 0.000 0.000
W 0.000 0.000 0.500
N 0.500 0.500 0.500

Computed properties:
E_form (uncorrected) = 2.33 eV per atom

# 2
# Y2ZnIrC

An optimized crystal structure of Y2ZnIrC (PBE, Alexandria via LeMat-Bulk).

a b c (Å): 5.225 5.225 4.433
angles (deg): 90.00 90.00 90.00
Fractional positions:
Y 0.000 0.500 0.000
Y 0.500 0.000 0.000
Zn 0.000 0.000 0.000
Ir 0.000 0.000 0.500
C 0.500 0.500 0.500

Computed properties:
Formation energy from the elements = 1.2860 eV/atom

# 3
# TiMn2TcH

An optimized crystal structure of TiMn2TcH (PBE, Alexandria via LeMat-Bulk).

a b c (Å): 3.657 3.657 4.179
angles (deg): 90.00 90.00 90.00
Fractional positions:
Ti 0.000 0.000 0.000
Mn 0.000 0.500 0.500
Mn 0.500 0.000 0.500
Tc 0.500 0.500 0.000
H 0.000 0.000 0.500

# 4
# NaPr2TcO6

An optimized crystal structure of NaPr2TcO6 (PBE, Alexandria via LeMat-Bulk).

a b c (Å): 5.412 5.412 5.272
angles (deg): 90.00 90.00 90.00
Fractional positions:
Na 0.000 0.000 0.000
Pr 0.000 0.500 0.443
Pr 0.500 0.000 0.443
Tc 0.500 0.500 0.022
O 0.000 0.000 0.571
O 0.272 0.272 0.180
O 0.272 0.728 0.180
O 0.500 0.500 0.681
O 0.728 0.272 0.180
O 0.728 0.728 0.180

Computed properties:
E_form (uncorrected) = -2.22 eV per atom

Energy
In order: -5.44 -5.17 -8.08 -7.32
Unit: eV/atom